P:
First-principles (PBE with a Hubbard U) data for a geometry-optimized NiI2O6 structure, as listed in the Alexandria database. Values from VASP.

**Fermi-level density of states**: 0.00 states/eV per cell
**SG**: P-3m1
**Calculated density**: 4.31 Mg/m³

```
&SYSTEM
  ibrav = 0, nat = 9, ntyp = 3
/
ATOMIC_SPECIES
Ni 58.69 Ni.upf
I 126.90 I.upf
O 16.00 O.upf
CELL_PARAMETERS angstrom
5.908 0.000 0.000
-2.954 5.117 0.000
0.000 0.000 5.208
ATOMIC_POSITIONS crystal
Ni 0.000 0.000 0.000
I 0.333 0.667 0.950
I 0.667 0.333 0.050
O 0.175 0.351 0.783
O 0.175 0.825 0.783
O 0.351 0.175 0.217
O 0.649 0.825 0.783
O 0.825 0.175 0.217
O 0.825 0.649 0.217
```

=====

Q:
First-principles (PBE with a Hubbard U) data for a geometry-optimized NiI2O6 structure, as listed in the Alexandria database. Values from VASP.

**Fermi-level density of states**: 0.00 states/eV per cell
**SG**: P2_1
**Calculated density**: 4.99 Mg/m³

```
&SYSTEM
  ibrav = 0, nat = 18, ntyp = 3
/
ATOMIC_SPECIES
Ni 58.69 Ni.upf
I 126.90 I.upf
O 16.00 O.upf
CELL_PARAMETERS angstrom
5.477 0.000 0.000
0.000 5.321 0.000
-0.039 0.000 9.337
ATOMIC_POSITIONS crystal
Ni 0.232 0.000 0.247
Ni 0.768 0.500 0.753
I 0.264 0.426 0.566
I 0.273 0.898 0.900
I 0.727 0.398 0.100
I 0.736 0.926 0.434
O 0.021 0.768 0.378
O 0.094 0.708 0.771
O 0.144 0.783 0.069
O 0.350 0.212 0.419
O 0.441 0.214 0.099
O 0.468 0.281 0.701
O 0.532 0.781 0.299
O 0.559 0.714 0.901
O 0.650 0.712 0.581
O 0.856 0.283 0.931
O 0.906 0.208 0.229
O 0.979 0.268 0.622
```

=====

Name the least stable of them. P.

=====

P:
First-principles (PBE with a Hubbard U) data for a geometry-optimized NiOsI2O structure, as listed in the Alexandria database. Values from VASP.

**Fermi-level density of states**: 8.15 states/eV per cell
**SG**: P4/mmm
**Calculated density**: 7.66 Mg/m³

```
&SYSTEM
  ibrav = 0, nat = 5, ntyp = 4
/
ATOMIC_SPECIES
Ni 58.69 Ni.upf
Os 190.23 Os.upf
I 126.90 I.upf
O 16.00 O.upf
CELL_PARAMETERS angstrom
5.499 0.000 0.000
0.000 5.499 0.000
0.000 0.000 3.721
ATOMIC_POSITIONS crystal
Ni 0.000 0.000 0.000
Os 0.500 0.500 0.500
I 0.000 0.500 0.500
I 0.500 0.000 0.500
O 0.500 0.500 0.000
```

=====

Q:
First-principles (PBE with a Hubbard U) data for a geometry-optimized NiOsI2O structure, as listed in the Alexandria database. Values from VASP.

**Fermi-level density of states**: 3.13 states/eV per cell
**SG**: P4/mmm
**Calculated density**: 9.02 Mg/m³

```
&SYSTEM
  ibrav = 0, nat = 5, ntyp = 4
/
ATOMIC_SPECIES
Ni 58.69 Ni.upf
Os 190.23 Os.upf
I 126.90 I.upf
O 16.00 O.upf
CELL_PARAMETERS angstrom
5.275 0.000 0.000
0.000 5.275 0.000
0.000 0.000 3.430
ATOMIC_POSITIONS crystal
Ni 0.000 0.000 0.000
Os 0.500 0.500 0.500
I 0.000 0.500 0.000
I 0.500 0.000 0.000
O 0.000 0.000 0.500
```

=====

Name the least stable of them. Q.

=====

P:
First-principles (PBE with a Hubbard U) data for a geometry-optimized NiPbIO2 structure, as listed in the Alexandria database. Values from VASP.

**Fermi-level density of states**: 1.43 states/eV per cell
**SG**: P4/mmm
**Calculated density**: 5.87 Mg/m³

```
&SYSTEM
  ibrav = 0, nat = 5, ntyp = 4
/
ATOMIC_SPECIES
Ni 58.69 Ni.upf
Pb 207.20 Pb.upf
I 126.90 I.upf
O 16.00 O.upf
CELL_PARAMETERS angstrom
4.161 0.000 0.000
0.000 4.161 0.000
0.000 0.000 6.937
ATOMIC_POSITIONS crystal
Ni 0.000 0.000 0.000
Pb 0.500 0.500 0.500
I 0.500 0.500 0.000
O 0.000 0.500 0.500
O 0.500 0.000 0.500
```

=====

Q:
First-principles (PBE with a Hubbard U) data for a geometry-optimized NiPbIO2 structure, as listed in the Alexandria database. Values from VASP.

**Fermi-level density of states**: 1.25 states/eV per cell
**SG**: P4/mmm
**Calculated density**: 7.25 Mg/m³

```
&SYSTEM
  ibrav = 0, nat = 5, ntyp = 4
/
ATOMIC_SPECIES
Ni 58.69 Ni.upf
Pb 207.20 Pb.upf
I 126.90 I.upf
O 16.00 O.upf
CELL_PARAMETERS angstrom
4.304 0.000 0.000
0.000 4.304 0.000
0.000 0.000 5.256
ATOMIC_POSITIONS crystal
Ni 0.000 0.000 0.000
Pb 0.500 0.500 0.500
I 0.000 0.000 0.500
O 0.000 0.500 0.000
O 0.500 0.000 0.000
```

=====

Name the least stable of them. P.

=====

P:
First-principles (PBE with a Hubbard U) data for a geometry-optimized NiPdIO2 structure, as listed in the Alexandria database. Values from VASP.

**Fermi-level density of states**: 2.70 states/eV per cell
**SG**: P4/mmm
**Calculated density**: 4.83 Mg/m³

```
&SYSTEM
  ibrav = 0, nat = 5, ntyp = 4
/
ATOMIC_SPECIES
Ni 58.69 Ni.upf
Pd 106.42 Pd.upf
I 126.90 I.upf
O 16.00 O.upf
CELL_PARAMETERS angstrom
3.844 0.000 0.000
0.000 3.844 0.000
0.000 0.000 7.546
ATOMIC_POSITIONS crystal
Ni 0.000 0.000 0.000
Pd 0.500 0.500 0.500
I 0.500 0.500 0.000
O 0.000 0.500 0.500
O 0.500 0.000 0.500
```

=====

Q:
First-principles (PBE with a Hubbard U) data for a geometry-optimized NiPdIO2 structure, as listed in the Alexandria database. Values from VASP.

**Fermi-level density of states**: 4.69 states/eV per cell
**SG**: P4/mmm
**Calculated density**: 5.47 Mg/m³

```
&SYSTEM
  ibrav = 0, nat = 5, ntyp = 4
/
ATOMIC_SPECIES
Ni 58.69 Ni.upf
Pd 106.42 Pd.upf
I 126.90 I.upf
O 16.00 O.upf
CELL_PARAMETERS angstrom
3.731 0.000 0.000
0.000 3.731 0.000
0.000 0.000 7.062
ATOMIC_POSITIONS crystal
Ni 0.000 0.000 0.000
Pd 0.500 0.500 0.500
I 0.000 0.000 0.500
O 0.000 0.500 0.000
O 0.500 0.000 0.000
```

=====

Name the least stable of them. P.

=====

P:
First-principles (PBE with a Hubbard U) data for a geometry-optimized NiPtIO2 structure, as listed in the Alexandria database. Values from VASP.

**Fermi-level density of states**: 1.58 states/eV per cell
**SG**: P4/mmm
**Calculated density**: 5.88 Mg/m³

```
&SYSTEM
  ibrav = 0, nat = 5, ntyp = 4
/
ATOMIC_SPECIES
Ni 58.69 Ni.upf
Pt 195.08 Pt.upf
I 126.90 I.upf
O 16.00 O.upf
CELL_PARAMETERS angstrom
3.784 0.000 0.000
0.000 3.784 0.000
0.000 0.000 8.141
ATOMIC_POSITIONS crystal
Ni 0.000 0.000 0.000
Pt 0.500 0.500 0.500
I 0.500 0.500 0.000
O 0.000 0.500 0.500
O 0.500 0.000 0.500
```

=====

Q:
First-principles (PBE with a Hubbard U) data for a geometry-optimized NiPtIO2 structure, as listed in the Alexandria database. Values from VASP.

**Fermi-level density of states**: 5.90 states/eV per cell
**SG**: P4/mmm
**Calculated density**: 6.81 Mg/m³

```
&SYSTEM
  ibrav = 0, nat = 5, ntyp = 4
/
ATOMIC_SPECIES
Ni 58.69 Ni.upf
Pt 195.08 Pt.upf
I 126.90 I.upf
O 16.00 O.upf
CELL_PARAMETERS angstrom
3.727 0.000 0.000
0.000 3.727 0.000
0.000 0.000 7.248
ATOMIC_POSITIONS crystal
Ni 0.000 0.000 0.000
Pt 0.500 0.500 0.500
I 0.000 0.000 0.500
O 0.000 0.500 0.000
O 0.500 0.000 0.000
```

=====

Name the least stable of them. Q.

=====

P:
First-principles (PBE with a Hubbard U) data for a geometry-optimized ReNiI2O structure, as listed in the Alexandria database. Values from VASP.

**Fermi-level density of states**: 6.60 states/eV per cell
**SG**: P4/mmm
**Calculated density**: 7.53 Mg/m³

```
&SYSTEM
  ibrav = 0, nat = 5, ntyp = 4
/
ATOMIC_SPECIES
Re 186.21 Re.upf
Ni 58.69 Ni.upf
I 126.90 I.upf
O 16.00 O.upf
CELL_PARAMETERS angstrom
5.510 0.000 0.000
0.000 5.510 0.000
0.000 0.000 3.738
ATOMIC_POSITIONS crystal
Re 0.000 0.000 0.000
Ni 0.500 0.500 0.500
I 0.000 0.500 0.000
I 0.500 0.000 0.000
O 0.000 0.000 0.500
```

=====

Q:
First-principles (PBE with a Hubbard U) data for a geometry-optimized ReNiI2O structure, as listed in the Alexandria database. Values from VASP.

**Fermi-level density of states**: 3.62 states/eV per cell
**SG**: P4/mmm
**Calculated density**: 8.02 Mg/m³

```
&SYSTEM
  ibrav = 0, nat = 5, ntyp = 4
/
ATOMIC_SPECIES
Re 186.21 Re.upf
Ni 58.69 Ni.upf
I 126.90 I.upf
O 16.00 O.upf
CELL_PARAMETERS angstrom
5.522 0.000 0.000
0.000 5.522 0.000
0.000 0.000 3.494
ATOMIC_POSITIONS crystal
Re 0.000 0.000 0.000
Ni 0.500 0.500 0.500
I 0.000 0.500 0.500
I 0.500 0.000 0.500
O 0.500 0.500 0.000
```

=====

Name the least stable of them. Q.